Record 1
VASP calculation (PBE-GGA) on a geometry-optimized HfMgH3 structure.

a = 3.820 Å, b = 3.820 Å, c = 3.820 Å
α = 90.00°, β = 90.00°, γ = 90.00°
Positions (direct):
H 0.000 0.500 0.000
H 0.000 0.000 0.500
H 0.500 0.000 0.000
Mg 0.500 0.500 0.500
Hf 0.000 0.000 0.000

Offset from the most stable computed form = 0 meV per atom
Crystal system = cubic
Magnetic moment = 0.00 μB/cell


Record 2
VASP calculation (PBE-GGA) on a geometry-optimized HfMgH structure.

a = 5.206 Å, b = 3.258 Å, c = 3.258 Å
α = 120.00°, β = 90.00°, γ = 90.00°
Positions (direct):
H 0.088 0.000 0.000
Mg 0.701 0.333 0.667
Hf 0.211 0.667 0.333

Offset from the most stable computed form = 0 meV per atom
Crystal system = trigonal
Magnetic moment = 0.00 μB/cell


Record 3
VASP calculation (PBE-GGA) on a geometry-optimized NaHfMgH2 structure.

a = 3.971 Å, b = 5.573 Å, c = 3.971 Å
α = 90.00°, β = 90.00°, γ = 90.00°
Positions (direct):
Na 0.000 0.500 0.000
Mg 0.000 0.000 0.000
Hf 0.500 0.500 0.500
H 0.000 0.000 0.500
H 0.500 0.000 0.000

Crystal system = tetragonal
DFT total energy = -14.3 eV for the cell shown
Magnetic moment = 0.00 μB/cell


Record 4
VASP calculation (PBE-GGA) on a geometry-optimized Hf2MgNbH structure.

a = 4.438 Å, b = 4.438 Å, c = 4.231 Å
α = 90.00°, β = 90.00°, γ = 90.00°
Positions (direct):
H 0.000 0.000 0.000
Nb 0.500 0.500 0.500
Hf 0.000 0.500 0.000
Hf 0.500 0.000 0.000
Mg 0.000 0.000 0.500

Offset from the most stable computed form = 38 meV per atom
Crystal system = tetragonal
Magnetic moment = 0.00 μB/cell


Record 5
VASP calculation (PBE-GGA) on a geometry-optimized HfMgNb2H structure.

a = 4.170 Å, b = 4.170 Å, c = 4.593 Å
α = 90.00°, β = 90.00°, γ = 90.00°
Positions (direct):
H 0.000 0.000 0.000
Nb 0.000 0.500 0.000
Nb 0.500 0.000 0.000
Hf 0.000 0.000 0.500
Mg 0.500 0.500 0.500

Crystal system = tetragonal
DFT total energy = -35.0 eV for the cell shown
Magnetic moment = 0.00 μB/cell


Record 6
VASP calculation (PBE-GGA) on a geometry-optimized Hf2MgNbH structure.

a = 4.498 Å, b = 4.498 Å, c = 4.144 Å
α = 90.00°, β = 90.00°, γ = 90.00°
Positions (direct):
H 0.000 0.000 0.000
Nb 0.000 0.000 0.500
Hf 0.000 0.500 0.000
Hf 0.500 0.000 0.000
Mg 0.500 0.500 0.500

Offset from the most stable computed form = 0 meV per atom
Crystal system = tetragonal
Magnetic moment = 0.00 μB/cell


Record 7
VASP calculation (PBE-GGA) on a geometry-optimized Hf2MgPH structure.

a = 4.866 Å, b = 4.667 Å, c = 4.866 Å
α = 90.00°, β = 90.00°, γ = 90.00°
Positions (direct):
P 0.000 0.000 0.000
Mg 0.000 0.500 0.000
Hf 0.000 0.000 0.500
Hf 0.500 0.000 0.000
H 0.500 0.500 0.500

Crystal system = tetragonal
DFT total energy = -27.0 eV for the cell shown
Magnetic moment = 0.00 μB/cell


Record 8
VASP calculation (PBE-GGA) on a geometry-optimized HfMg2HPb structure.

a = 4.545 Å, b = 4.545 Å, c = 4.313 Å
α = 90.00°, β = 90.00°, γ = 90.00°
Positions (direct):
Pb 0.500 0.500 0.500
H 0.000 0.000 0.000
Mg 0.000 0.500 0.000
Mg 0.500 0.000 0.000
Hf 0.000 0.000 0.500

Crystal system = tetragonal
DFT total energy = -20.1 eV for the cell shown
Magnetic moment = 0.00 μB/cell


Record 9
VASP calculation (PBE-GGA) on a geometry-optimized HfMgHPb2 structure.

a = 5.420 Å, b = 3.639 Å, c = 5.420 Å
α = 90.00°, β = 90.00°, γ = 90.00°
Positions (direct):
Pb 0.000 0.000 0.500
Pb 0.500 0.000 0.000
H 0.000 0.000 0.000
Mg 0.500 0.500 0.500
Hf 0.000 0.500 0.000

Crystal system = tetragonal
DFT total energy = -21.7 eV for the cell shown
Magnetic moment = 0.00 μB/cell


Record 10
VASP calculation (PBE-GGA) on a geometry-optimized Hf2MgHPb structure.

a = 4.322 Å, b = 4.322 Å, c = 4.774 Å
α = 90.00°, β = 90.00°, γ = 90.00°
Positions (direct):
Pb 0.500 0.500 0.500
H 0.000 0.000 0.000
Mg 0.000 0.000 0.500
Hf 0.000 0.500 0.000
Hf 0.500 0.000 0.000

Crystal system = tetragonal
DFT total energy = -28.9 eV for the cell shown
Magnetic moment = 0.00 μB/cell


Record 11
VASP calculation (PBE-GGA) on a geometry-optimized Hf2MgHPd structure.

a = 4.361 Å, b = 4.361 Å, c = 4.175 Å
α = 90.00°, β = 90.00°, γ = 90.00°
Positions (direct):
H 0.000 0.000 0.000
Mg 0.500 0.500 0.500
Hf 0.000 0.500 0.000
Hf 0.500 0.000 0.000
Pd 0.000 0.000 0.500

Offset from the most stable computed form = 41 meV per atom
Crystal system = tetragonal
Magnetic moment = 0.00 μB/cell


Record 12
VASP calculation (PBE-GGA) on a geometry-optimized Hf2MgHPd structure.

a = 4.243 Å, b = 4.243 Å, c = 4.372 Å
α = 90.00°, β = 90.00°, γ = 90.00°
Positions (direct):
H 0.000 0.000 0.000
Mg 0.000 0.000 0.500
Hf 0.000 0.500 0.000
Hf 0.500 0.000 0.000
Pd 0.500 0.500 0.500

Offset from the most stable computed form = 0 meV per atom
Crystal system = tetragonal
Magnetic moment = 0.00 μB/cell


Record 13
VASP calculation (PBE-GGA) on a geometry-optimized Hf2MgHPt structure.

a = 4.239 Å, b = 4.239 Å, c = 4.312 Å
α = 90.00°, β = 90.00°, γ = 90.00°
Positions (direct):
H 0.000 0.000 0.000
Mg 0.000 0.000 0.500
Hf 0.000 0.500 0.000
Hf 0.500 0.000 0.000
Pt 0.500 0.500 0.500

Crystal system = tetragonal
DFT total energy = -33.0 eV for the cell shown
Magnetic moment = 0.00 μB/cell


Record 14
VASP calculation (PBE-GGA) on a geometry-optimized HfMg2ReH structure.

a = 5.333 Å, b = 3.231 Å, c = 5.333 Å
α = 90.00°, β = 90.00°, γ = 90.00°
Positions (direct):
Re 0.500 0.500 0.500
Mg 0.000 0.000 0.500
Mg 0.500 0.000 0.000
Hf 0.000 0.000 0.000
H 0.000 0.500 0.000

Crystal system = tetragonal
DFT total energy = -22.4 eV for the cell shown
Magnetic moment = 1.05 μB/cell


Record 15
VASP calculation (PBE-GGA) on a geometry-optimized Hf2MgHRh structure.

a = 4.439 Å, b = 4.439 Å, c = 3.930 Å
α = 90.00°, β = 90.00°, γ = 90.00°
Positions (direct):
Rh 0.000 0.000 0.500
Mg 0.500 0.500 0.500
Hf 0.000 0.500 0.000
Hf 0.500 0.000 0.000
H 0.000 0.000 0.000

Offset from the most stable computed form = 17 meV per atom
Crystal system = tetragonal
Magnetic moment = 0.00 μB/cell


Record 16
VASP calculation (PBE-GGA) on a geometry-optimized Hf2MgHRh structure.

a = 4.301 Å, b = 4.301 Å, c = 4.133 Å
α = 90.00°, β = 90.00°, γ = 90.00°
Positions (direct):
Rh 0.500 0.500 0.500
Mg 0.000 0.000 0.500
Hf 0.000 0.500 0.000
Hf 0.500 0.000 0.000
H 0.000 0.000 0.000

Offset from the most stable computed form = 0 meV per atom
Crystal system = tetragonal
Magnetic moment = 0.00 μB/cell


Record 17
VASP calculation (PBE-GGA) on a geometry-optimized HfMg2HRh structure.

a = 4.032 Å, b = 4.032 Å, c = 4.562 Å
α = 90.00°, β = 90.00°, γ = 90.00°
Positions (direct):
Rh 0.500 0.500 0.500
Mg 0.000 0.500 0.000
Mg 0.500 0.000 0.000
Hf 0.000 0.000 0.500
H 0.000 0.000 0.000

Crystal system = tetragonal
DFT total energy = -25.1 eV for the cell shown
Magnetic moment = 0.00 μB/cell


Record 18
VASP calculation (PBE-GGA) on a geometry-optimized HfMg2HS structure.

a = 4.779 Å, b = 4.803 Å, c = 4.779 Å
α = 90.00°, β = 90.00°, γ = 90.00°
Positions (direct):
H 0.500 0.500 0.500
S 0.000 0.000 0.000
Hf 0.000 0.500 0.000
Mg 0.000 0.000 0.500
Mg 0.500 0.000 0.000

Crystal system = tetragonal
DFT total energy = -17.9 eV for the cell shown
Magnetic moment = 0.00 μB/cell


Record 19
VASP calculation (PBE-GGA) on a geometry-optimized HfMg2SbH structure.

a = 4.502 Å, b = 4.502 Å, c = 4.270 Å
α = 90.00°, β = 90.00°, γ = 90.00°
Positions (direct):
Sb 0.500 0.500 0.500
Mg 0.000 0.500 0.000
Mg 0.500 0.000 0.000
Hf 0.000 0.000 0.500
H 0.000 0.000 0.000

Crystal system = tetragonal
DFT total energy = -20.9 eV for the cell shown
Magnetic moment = 0.00 μB/cell


Record 20
VASP calculation (PBE-GGA) on a geometry-optimized Hf2MgScH structure.

a = 4.420 Å, b = 4.420 Å, c = 4.568 Å
α = 90.00°, β = 90.00°, γ = 90.00°
Positions (direct):
Sc 0.500 0.500 0.500
H 0.000 0.000 0.000
Mg 0.000 0.000 0.500
Hf 0.000 0.500 0.000
Hf 0.500 0.000 0.000

Offset from the most stable computed form = 33 meV per atom
Crystal system = tetragonal
Magnetic moment = 0.00 μB/cell


Record 21
VASP calculation (PBE-GGA) on a geometry-optimized HfMgSc2H structure.

a = 4.547 Å, b = 4.547 Å, c = 4.443 Å
α = 90.00°, β = 90.00°, γ = 90.00°
Positions (direct):
Sc 0.000 0.500 0.000
Sc 0.500 0.000 0.000
H 0.000 0.000 0.000
Mg 0.500 0.500 0.500
Hf 0.000 0.000 0.500

Offset from the most stable computed form = 0 meV per atom
Crystal system = tetragonal
Magnetic moment = 0.00 μB/cell


Record 22
VASP calculation (PBE-GGA) on a geometry-optimized Hf2MgScH structure.

a = 4.443 Å, b = 4.443 Å, c = 4.545 Å
α = 90.00°, β = 90.00°, γ = 90.00°
Positions (direct):
Sc 0.000 0.000 0.500
H 0.000 0.000 0.000
Mg 0.500 0.500 0.500
Hf 0.000 0.500 0.000
Hf 0.500 0.000 0.000

Offset from the most stable computed form = 0 meV per atom
Crystal system = tetragonal
Magnetic moment = 0.00 μB/cell


Record 23
VASP calculation (PBE-GGA) on a geometry-optimized HfMg2ScH structure.

a = 4.902 Å, b = 4.902 Å, c = 3.796 Å
α = 90.00°, β = 90.00°, γ = 90.00°
Positions (direct):
Sc 0.000 0.000 0.500
H 0.000 0.000 0.000
Mg 0.000 0.500 0.000
Mg 0.500 0.000 0.000
Hf 0.500 0.500 0.500

Crystal system = tetragonal
DFT total energy = -22.6 eV for the cell shown
Magnetic moment = 0.00 μB/cell


Record 24
VASP calculation (PBE-GGA) on a geometry-optimized HfMgSc2H structure.

a = 4.514 Å, b = 4.514 Å, c = 4.439 Å
α = 90.00°, β = 90.00°, γ = 90.00°
Positions (direct):
Sc 0.000 0.500 0.000
Sc 0.500 0.000 0.000
H 0.000 0.000 0.000
Mg 0.000 0.000 0.500
Hf 0.500 0.500 0.500

Offset from the most stable computed form = 47 meV per atom
Crystal system = tetragonal
Magnetic moment = 0.00 μB/cell


Record 25
VASP calculation (PBE-GGA) on a geometry-optimized Hf2MgTaH structure.

a = 4.472 Å, b = 4.472 Å, c = 4.177 Å
α = 90.00°, β = 90.00°, γ = 90.00°
Positions (direct):
H 0.000 0.000 0.000
Mg 0.500 0.500 0.500
Hf 0.000 0.500 0.000
Hf 0.500 0.000 0.000
Ta 0.000 0.000 0.500

Crystal system = tetragonal
DFT total energy = -36.7 eV for the cell shown
Magnetic moment = 0.00 μB/cell


Record 26
VASP calculation (PBE-GGA) on a geometry-optimized Hf2MgTlH structure.

a = 4.312 Å, b = 4.312 Å, c = 4.696 Å
α = 90.00°, β = 90.00°, γ = 90.00°
Positions (direct):
H 0.000 0.000 0.000
Tl 0.500 0.500 0.500
Hf 0.000 0.500 0.000
Hf 0.500 0.000 0.000
Mg 0.000 0.000 0.500

Crystal system = tetragonal
DFT total energy = -27.5 eV for the cell shown
Magnetic moment = 0.00 μB/cell


Record 27
VASP calculation (PBE-GGA) on a geometry-optimized HfMgH2W structure.

a = 3.694 Å, b = 5.585 Å, c = 3.694 Å
α = 90.00°, β = 90.00°, γ = 90.00°
Positions (direct):
H 0.000 0.000 0.500
H 0.500 0.000 0.000
Mg 0.000 0.500 0.000
Hf 0.000 0.000 0.000
W 0.500 0.500 0.500

Crystal system = tetragonal
DFT total energy = -25.7 eV for the cell shown
Magnetic moment = 0.04 μB/cell


Record 28
VASP calculation (PBE-GGA) on a geometry-optimized YHf2MgH structure.

a = 4.520 Å, b = 4.520 Å, c = 4.746 Å
α = 90.00°, β = 90.00°, γ = 90.00°
Positions (direct):
Y 0.000 0.000 0.500
H 0.000 0.000 0.000
Mg 0.500 0.500 0.500
Hf 0.000 0.500 0.000
Hf 0.500 0.000 0.000

Crystal system = tetragonal
DFT total energy = -31.4 eV for the cell shown
Magnetic moment = 0.00 μB/cell


Record 29
VASP calculation (PBE-GGA) on a geometry-optimized Y2HfMgH structure.

a = 4.853 Å, b = 4.853 Å, c = 4.565 Å
α = 90.00°, β = 90.00°, γ = 90.00°
Positions (direct):
Y 0.000 0.500 0.000
Y 0.500 0.000 0.000
H 0.000 0.000 0.000
Mg 0.500 0.500 0.500
Hf 0.000 0.000 0.500

Crystal system = tetragonal
DFT total energy = -28.0 eV for the cell shown
Magnetic moment = 0.01 μB/cell